1.
DFT (PBE) results for crystalline Mn2CoSiHg at its relaxed geometry.

The space group is P4/mmm (No. 123) and the conventional cell measures 4.998, 4.998 and 4.695 Å, with angles of 90.00, 90.00 and 90.00 degrees. The asymmetric unit holds Mn at (0.000, 0.500, 0.000), Co at (0.000, 0.000, 0.500), Si at (0.500, 0.500, 0.500) and Hg at (0.500, 0.500, 0.000).

Its crystal system is tetragonal.

***

2.
DFT (PBE) results for crystalline MnCoSiHg2 at its relaxed geometry.

The space group is P4/mmm (No. 123) and the conventional cell measures 5.002, 5.002 and 4.285 Å, with angles of 90.00, 90.00 and 90.00 degrees. The asymmetric unit holds Mn at (0.000, 0.000, 0.000), Co at (0.500, 0.500, 0.000), Si at (0.500, 0.500, 0.500) and Hg at (0.000, 0.500, 0.500).

Its crystal system is tetragonal.

***

Number 1: E_tot -22.538 eV for the cell shown. Number 2: E_tot -18.217 eV for the cell shown.